Below is an optimized crystal structure of SrRe3Ge, with properties calculated at the PBE level.

The space group is Pm-3m (No. 221) and the conventional cell measures 4.862, 4.862 and 4.862 Å, with angles of 90.00, 90.00 and 90.00 degrees. The inequivalent atoms are Sr at (0.000, 0.000, 0.000), Re at (0.000, 0.000, 0.500) and Ge at (0.500, 0.500, 0.500).

The density comes out at 10.39 g/cm3. The raw total energy comes out at -24.87 eV per cell.

Below is an optimized crystal structure of Sr2TaReGe, with properties calculated at the PBE level.

The space group is P4/mmm (No. 123) and the conventional cell measures 5.741, 5.741 and 4.954 Å, with angles of 90.00, 90.00 and 90.00 degrees. The inequivalent atoms are Sr at (0.000, 0.500, 0.000), Ta at (0.000, 0.000, 0.500), Re at (0.500, 0.500, 0.500) and Ge at (0.000, 0.000, 0.000).

The density comes out at 6.26 g/cm3. The raw total energy comes out at -25.23 eV per cell.

Below is an optimized crystal structure of Sr2ReTcGe, with properties calculated at the PBE level.

The space group is P4/mmm (No. 123) and the conventional cell measures 5.797, 5.797 and 4.684 Å, with angles of 90.00, 90.00 and 90.00 degrees. The inequivalent atoms are Sr at (0.000, 0.500, 0.000), Re at (0.000, 0.000, 0.500), Tc at (0.500, 0.500, 0.500) and Ge at (0.000, 0.000, 0.000).

The density comes out at 5.61 g/cm3. The raw total energy comes out at -24.47 eV per cell.

Below is an optimized crystal structure of SrTiRe2Ge, with properties calculated at the PBE level.

The space group is P4/mmm (No. 123) and the conventional cell measures 4.801, 4.801 and 4.792 Å, with angles of 90.00, 90.00 and 90.00 degrees. The inequivalent atoms are Sr at (0.000, 0.000, 0.000), Ti at (0.000, 0.000, 0.500), Re at (0.000, 0.500, 0.000) and Ge at (0.500, 0.500, 0.500).

The density comes out at 8.73 g/cm3. The raw total energy comes out at -23.92 eV per cell.